# Na8GaSe6

Na8GaSe6 after structural relaxation (PBE-GGA, Alexandria).

Properties
Crystal system = orthorhombic

Cell lengths 7.7264, 8.6190, 12.4423 Å; angles 90.00, 90.00, 90.00 degrees
Closest atoms and distances in Å follow each position.
Sites, in units of the cell vectors:
Na (0.0000, 0.1226, 0.0000)  4 Se 2.88-3.07
Na (0.0000, 0.2408, 0.4335)  3 Se 2.77-3.00
Na (0.2066, 0.5687, 0.7882)  4 Se 2.85-3.01
Na (0.2174, 0.7158, 0.1102)  3 Se 2.87-2.94, 1 Na 3.12
Na (0.2198, 0.9434, 0.7668)  4 Se 2.86-2.98
Na (0.2802, 0.0566, 0.2668)  4 Se 2.86-2.98
Na (0.2826, 0.2842, 0.6102)  3 Se 2.87-2.94, 1 Na 3.12
Na (0.2934, 0.4313, 0.2882)  4 Se 2.85-3.01
Na (0.5000, 0.7592, 0.9335)  3 Se 2.77-3.00
Na (0.5000, 0.8774, 0.5000)  4 Se 2.88-3.07
Na (0.7066, 0.4313, 0.2882)  4 Se 2.85-3.01
Na (0.7174, 0.2842, 0.6102)  3 Se 2.87-2.94, 1 Na 3.12
Na (0.7198, 0.0566, 0.2668)  4 Se 2.86-2.98
Na (0.7802, 0.9434, 0.7668)  4 Se 2.86-2.98
Na (0.7826, 0.7158, 0.1102)  3 Se 2.87-2.94, 1 Na 3.12
Na (0.7934, 0.5687, 0.7882)  4 Se 2.85-3.01
Ga (0.0000, 0.7478, 0.4795)  4 Se 2.44-2.47
Ga (0.5000, 0.2522, 0.9795)  4 Se 2.44-2.47
Se (0.0000, 0.2588, 0.2115)  6 Na 2.77-2.88
Se (0.0000, 0.5100, 0.5867)  1 Ga 2.45
Se (0.0000, 0.7816, 0.9288)  7 Na 2.87-3.07
Se (0.0000, 0.9905, 0.5809)  1 Ga 2.44
Se (0.2340, 0.7473, 0.3448)  1 Ga 2.47
Se (0.2660, 0.2527, 0.8448)  1 Ga 2.47
Se (0.5000, 0.0095, 0.0809)  1 Ga 2.44
Se (0.5000, 0.2184, 0.4288)  7 Na 2.87-3.07
Se (0.5000, 0.4900, 0.0867)  1 Ga 2.45
Se (0.5000, 0.7412, 0.7115)  6 Na 2.77-2.88
Se (0.7340, 0.2527, 0.8448)  1 Ga 2.47
Se (0.7660, 0.7473, 0.3448)  1 Ga 2.47

# NaGa2Se2

NaGa2Se2 after structural relaxation (PBE-GGA, Alexandria).

Properties
ΔE to the lowest computed polymorph = 173 meV per atom
Crystal system = tetragonal

Cell lengths 7.6765, 7.6765, 7.6765 Å; angles 149.44, 149.44, 43.76 degrees
Closest atoms and distances in Å follow each position.
Sites, in units of the cell vectors:
Na (0.0000, 0.0000, 0.0000)  8 Se 3.15
Ga (0.2500, 0.7500, 0.5000)  4 Ga 2.86, 4 Se 3.03
Ga (0.7500, 0.2500, 0.5000)  4 Ga 2.86, 4 Se 3.03
Se (0.4082, 0.4082, 0.0000)  1 Se 2.62
Se (0.5918, 0.5918, 0.0000)  1 Se 2.62

# Na2Ga2Se3

Na2Ga2Se3 after structural relaxation (PBE-GGA, Alexandria).

Properties
ΔE to the lowest computed polymorph = 0 meV per atom
Crystal system = monoclinic

Cell lengths 6.9491, 6.9491, 8.7184 Å; angles 97.64, 97.64, 119.99 degrees
Closest atoms and distances in Å follow each position.
Sites, in units of the cell vectors:
Na (0.0000, 0.0000, 0.0000)  6 Se 3.23-3.24
Na (0.1655, 0.8345, 0.5000)  6 Se 3.03-3.08
Na (0.5000, 0.5000, 0.5000)  6 Se 3.01-3.08
Na (0.8345, 0.1655, 0.5000)  6 Se 3.03-3.08
Ga (0.2852, 0.6185, 0.8547)  1 Ga 2.44, 3 Se 2.49-2.50
Ga (0.3815, 0.7148, 0.1453)  1 Ga 2.44, 3 Se 2.49-2.50
Ga (0.6185, 0.2852, 0.8547)  1 Ga 2.44, 3 Se 2.49-2.50
Ga (0.7148, 0.3815, 0.1453)  1 Ga 2.44, 3 Se 2.49-2.50
Se (0.0870, 0.4273, 0.2619)  2 Ga 2.49
Se (0.2531, 0.2531, 0.7368)  2 Ga 2.50
Se (0.4273, 0.0870, 0.2619)  2 Ga 2.49
Se (0.5727, 0.9130, 0.7381)  2 Ga 2.49
Se (0.7469, 0.7469, 0.2632)  2 Ga 2.50
Se (0.9130, 0.5727, 0.7381)  2 Ga 2.49

# NaGa2Se4

NaGa2Se4 after structural relaxation (PBE-GGA, Alexandria).

Properties
ΔE to the lowest computed polymorph = 0 meV per atom
Crystal system = tetragonal

Cell lengths 5.3102, 5.3102, 7.3812 Å; angles 90.00, 90.00, 90.00 degrees
Closest atoms and distances in Å follow each position.
Sites, in units of the cell vectors:
Na (0.0000, 0.0000, 0.0000)  4 Se 2.92
Ga (0.0000, 0.5000, 0.5000)  4 Se 2.43
Ga (0.5000, 0.0000, 0.5000)  4 Se 2.43
Se (0.2632, 0.2632, 0.2913)  2 Ga 2.43
Se (0.2632, 0.7368, 0.7087)  2 Ga 2.43
Se (0.7368, 0.2632, 0.7087)  2 Ga 2.43
Se (0.7368, 0.7368, 0.2913)  2 Ga 2.43

no.,total magnetic moment (μB/f.u.),VASP energy (eV per cell),uncorrected formation energy (eV per atom)
1,0.2,-95.1,-0.873
2,0.0,-16.0,-0.338
3,0.0,-50.4,-0.862
4,0.0,-25.7,-0.622